Material: Zr2RhPb
Method: DFT, PBE
State: relaxed

Geometry as extended XYZ:
```
4
Lattice="4.3377 0.0000 0.0000 0.0000 4.3377 0.0000 0.0000 0.0000 4.3147" Properties=species:S:1:pos:R:3 pbc="T T T"
Zr 0.0000 2.1688 0.0000
Zr 2.1688 0.0000 0.0000
Rh 0.0000 0.0000 2.1574
Pb 2.1688 2.1688 2.1574
```

Summary:
Total energy ... -7.373 eV/atom
Energy of formation from the pure elements ... -32.2 kJ per mole of atoms
M_tot ... 0.00 Bohr magnetons per cell